Compound: AlCd2As2
Source: Alexandria via LeMat-Bulk
Functional: PBE
Structure: relaxed

The total DFT energy (no corrections) is -2.8422 eV/atom. For the energy relative to the elements, the calculation gives 0.13 eV per atom. The calculation puts the density of states at the Fermi level at 5.292 states/eV per cell. Its magnetization is 0.00 μB/atom.

The structure belongs to space group P4/mbm (No. 127); the cell edges are 7.324, 7.324 and 4.159 Å and the angles 90.00°, 90.00° and 90.00°. The distinct sites, in fractional coordinates, are Al at (0.000, 0.000, 0.000), Cd at (0.138, 0.362, 0.500) and As at (0.186, 0.686, 0.000).